# 1
VASP calculation (PBE-GGA) on a geometry-optimized RbBe2Mo structure.

The density of states at the Fermi level is 7.824 states/eV/cell. For the energy above the lowest structure with this stoichiometry, the calculation gives 0 meV/atom. The value obtained for the spin magnetization is 2.904 μB per formula unit. The volume is 402.19 Å³/cell.

The space group is I4_1/amd (No. 141, origin choice 2) and the conventional cell measures 4.9401, 4.9401 and 16.4802 Å, with angles of 90.00, 90.00 and 90.00 degrees. The asymmetric unit holds Rb at (0.0000, 0.2500, 0.3750), Be at (0.0000, 0.0000, 0.0000) and Mo at (0.0000, 0.2500, 0.8750).

***

# 2
VASP calculation (PBE-GGA) on a geometry-optimized RbBe3Mo structure.

The density of states at the Fermi level is 5.316 states/eV/cell. For the energy above the lowest structure with this stoichiometry, the calculation gives 0 meV/atom. The value obtained for the spin magnetization is 0.001 μB per formula unit. The volume is 104.61 Å³/cell.

The space group is Pm-3m (No. 221) and the conventional cell measures 4.7119, 4.7119 and 4.7119 Å, with angles of 90.00, 90.00 and 90.00 degrees. The asymmetric unit holds Rb at (0.0000, 0.0000, 0.0000), Be at (0.0000, 0.5000, 0.5000) and Mo at (0.5000, 0.5000, 0.5000).

***

# 3
VASP calculation (PBE-GGA) on a geometry-optimized RbBe2Mo structure.

The density of states at the Fermi level is 10.172 states/eV/cell. For the energy above the lowest structure with this stoichiometry, the calculation gives 315 meV/atom. The value obtained for the spin magnetization is 2.436 μB per formula unit. The volume is 304.64 Å³/cell.

The space group is Fm-3m (No. 225) and the conventional cell measures 6.7287, 6.7287 and 6.7287 Å, with angles of 90.00, 90.00 and 90.00 degrees. The asymmetric unit holds Rb at (0.0000, 0.0000, 0.0000), Be at (0.2500, 0.2500, 0.2500) and Mo at (0.0000, 0.0000, 0.5000).

***

# 4
VASP calculation (PBE-GGA) on a geometry-optimized RbBe2SbMo structure.

The density of states at the Fermi level is 2.461 states/eV/cell. The value obtained for the spin magnetization is 0.000 μB per formula unit. The volume is 114.74 Å³/cell. The formation energy (no corrections) is 1597 meV/atom.

The space group is P4/mmm (No. 123) and the conventional cell measures 4.6926, 4.6926 and 5.2107 Å, with angles of 90.00, 90.00 and 90.00 degrees. The asymmetric unit holds Rb at (0.0000, 0.0000, 0.0000), Be at (0.0000, 0.5000, 0.5000), Sb at (0.5000, 0.5000, 0.0000) and Mo at (0.0000, 0.0000, 0.5000).

***

# 5
VASP calculation (PBE-GGA) on a geometry-optimized Rb2ScBeMo structure.

The total energy comes out at -2.634 eV/atom. The density of states at the Fermi level is 5.371 states/eV/cell. The value obtained for the spin magnetization is 5.210 μB per formula unit. The volume is 234.05 Å³/cell.

The space group is P4/mmm (No. 123) and the conventional cell measures 7.0968, 7.0968 and 4.6471 Å, with angles of 90.00, 90.00 and 90.00 degrees. The asymmetric unit holds Rb at (0.0000, 0.5000, 0.0000), Sc at (0.0000, 0.0000, 0.0000), Be at (0.0000, 0.0000, 0.5000) and Mo at (0.5000, 0.5000, 0.5000).

***

# 6
VASP calculation (PBE-GGA) on a geometry-optimized RbBeSnMo2 structure.

The total energy comes out at -3.912 eV/atom. The density of states at the Fermi level is 3.749 states/eV/cell. The value obtained for the spin magnetization is 7.180 μB per formula unit. The volume is 191.11 Å³/cell.

The space group is P4/mmm (No. 123) and the conventional cell measures 5.3201, 5.3201 and 6.7522 Å, with angles of 90.00, 90.00 and 90.00 degrees. The asymmetric unit holds Rb at (0.0000, 0.0000, 0.0000), Be at (0.5000, 0.5000, 0.0000), Sn at (0.0000, 0.0000, 0.5000) and Mo at (0.0000, 0.5000, 0.5000).

***

# 7
VASP calculation (PBE-GGA) on a geometry-optimized RbSrBeMo2 structure.

The total energy comes out at -2.673 eV/atom. The density of states at the Fermi level is 6.316 states/eV/cell. The value obtained for the spin magnetization is 0.010 μB per formula unit. The volume is 127.20 Å³/cell.

The space group is P4/mmm (No. 123) and the conventional cell measures 4.8157, 4.8157 and 5.4851 Å, with angles of 90.00, 90.00 and 90.00 degrees. The asymmetric unit holds Rb at (0.0000, 0.0000, 0.0000), Sr at (0.0000, 0.0000, 0.5000), Be at (0.5000, 0.5000, 0.5000) and Mo at (0.0000, 0.5000, 0.0000).

***

# 8
VASP calculation (PBE-GGA) on a geometry-optimized Rb2TaBeMo structure.

The density of states at the Fermi level is 10.228 states/eV/cell. For the energy above the lowest structure with this stoichiometry, the calculation gives 332 meV/atom. The value obtained for the spin magnetization is 0.125 μB per formula unit. The volume is 141.58 Å³/cell.

The space group is P4/mmm (No. 123) and the conventional cell measures 5.3757, 5.3757 and 4.8992 Å, with angles of 90.00, 90.00 and 90.00 degrees. The asymmetric unit holds Rb at (0.0000, 0.5000, 0.0000), Ta at (0.0000, 0.0000, 0.5000), Be at (0.5000, 0.5000, 0.0000) and Mo at (0.5000, 0.5000, 0.5000).

***

# 9
VASP calculation (PBE-GGA) on a geometry-optimized Rb2TaBeMo structure.

The density of states at the Fermi level is 6.740 states/eV/cell. For the energy above the lowest structure with this stoichiometry, the calculation gives 0 meV/atom. The value obtained for the spin magnetization is 1.445 μB per formula unit. The volume is 183.86 Å³/cell.

The space group is P4/mmm (No. 123) and the conventional cell measures 6.0845, 6.0845 and 4.9664 Å, with angles of 90.00, 90.00 and 90.00 degrees. The asymmetric unit holds Rb at (0.0000, 0.5000, 0.0000), Ta at (0.0000, 0.0000, 0.5000), Be at (0.0000, 0.0000, 0.0000) and Mo at (0.5000, 0.5000, 0.5000).

***

# 10
VASP calculation (PBE-GGA) on a geometry-optimized BeReMo3 structure.

The density of states at the Fermi level is 5.943 states/eV/cell. For the energy above the lowest structure with this stoichiometry, the calculation gives 1194 meV/atom. The value obtained for the spin magnetization is 0.000 μB per formula unit. The volume is 105.43 Å³/cell.

The space group is Pm-3m (No. 221) and the conventional cell measures 4.7241, 4.7241 and 4.7241 Å, with angles of 90.00, 90.00 and 90.00 degrees. The asymmetric unit holds Be at (0.0000, 0.0000, 0.0000), Re at (0.5000, 0.5000, 0.5000) and Mo at (0.0000, 0.5000, 0.5000).

***

# 11
VASP calculation (PBE-GGA) on a geometry-optimized BeReMo4 structure.

The total energy comes out at -9.408 eV/atom. The density of states at the Fermi level is 15.842 states/eV/cell. The value obtained for the spin magnetization is 0.000 μB per formula unit. The volume is 381.08 Å³/cell.

The space group is F-43m (No. 216) and the conventional cell measures 7.2500, 7.2500 and 7.2500 Å, with angles of 90.00, 90.00 and 90.00 degrees. The asymmetric unit holds Be at (0.0000, 0.0000, 0.0000), Re at (0.2500, 0.2500, 0.2500) and Mo at (0.1254, 0.1254, 0.6254).

***

# 12
VASP calculation (PBE-GGA) on a geometry-optimized BeReMo2 structure.

The total energy comes out at -9.263 eV/atom. The density of states at the Fermi level is 4.359 states/eV/cell. The value obtained for the spin magnetization is 0.000 μB per formula unit. The volume is 114.11 Å³/cell.

The space group is I-4m2 (No. 119) and the conventional cell measures 3.6472, 3.6472 and 8.5783 Å, with angles of 90.00, 90.00 and 90.00 degrees. The asymmetric unit holds Be at (0.0000, 0.0000, 0.0000), Re at (0.0000, 0.5000, 0.2500), Mo at (0.0000, 0.0000, 0.5000) and Mo at (0.0000, 0.5000, 0.7500).

***

| no. | calculated density (g/cm3) |
| --- | --- |
| 1 | 3.3 |
| 2 | 3.3 |
| 3 | 4.3 |
| 4 | 4.6 |
| 5 | 2.3 |
| 6 | 3.5 |
| 7 | 4.9 |
| 8 | 5.4 |
| 9 | 4.1 |
| 10 | 7.6 |
| 11 | 10.1 |
| 12 | 11.3 |